# Ca2ScTl (PBE, relaxed)
data_Ca2ScTl
_chemical_formula_sum 'Ca2 Sc1 Tl1'
_cell_length_a 6.012
_cell_length_b 6.012
_cell_length_c 6.012
_cell_angle_alpha 132.40
_cell_angle_beta 132.40
_cell_angle_gamma 69.60
_space_group_name_H-M_alt 'P 1'
_space_group_IT_number 1
_space_group_name_Hall 'P 1'
loop_
_atom_site_label
_atom_site_type_symbol
_atom_site_fract_x
_atom_site_fract_y
_atom_site_fract_z
_atom_site_occupancy
Ca1 Ca 0.500 0.500 0.000 1
Ca2 Ca 0.000 0.000 0.000 1
Sc1 Sc 0.250 0.750 0.500 1
Tl1 Tl 0.750 0.250 0.500 1
# VASP energy: -12.88 eV for the cell shown
# calculated density: 4.71 g/cm³
# DFT formation energy: -44 meV/atom
# polymorph energy (0 for the lowest one): 0.29 eV per formula unit

# KCdSnBr6 (PBE, relaxed)
data_KCdSnBr6
_chemical_formula_sum 'K2 Cd2 Sn2 Br12'
_cell_length_a 7.285
_cell_length_b 7.285
_cell_length_c 14.544
_cell_angle_alpha 90.00
_cell_angle_beta 90.00
_cell_angle_gamma 120.00
_space_group_name_H-M_alt 'P 1'
_space_group_IT_number 1
_space_group_name_Hall 'P 1'
loop_
_atom_site_label
_atom_site_type_symbol
_atom_site_fract_x
_atom_site_fract_y
_atom_site_fract_z
_atom_site_occupancy
Br1 Br 0.001 0.372 0.138 1
Br2 Br 0.628 0.628 0.138 1
Br3 Br 0.001 0.628 0.362 1
Br4 Br 0.372 0.999 0.138 1
Br5 Br 0.628 0.001 0.862 1
Br6 Br 0.372 0.372 0.362 1
Br7 Br 0.999 0.628 0.862 1
Br8 Br 0.628 0.628 0.638 1
Br9 Br 0.628 0.999 0.362 1
Br10 Br 0.372 0.372 0.862 1
Br11 Br 0.372 0.001 0.638 1
Br12 Br 0.999 0.372 0.638 1
Cd1 Cd 0.333 0.667 0.250 1
Cd2 Cd 0.667 0.333 0.750 1
K1 K 0.000 0.000 0.500 1
K2 K 0.000 0.000 0.000 1
Sn1 Sn 0.667 0.333 0.250 1
Sn2 Sn 0.333 0.667 0.750 1
# VASP energy: -49.17 eV for the cell shown
# uncorrected formation energy: -0.95 eV per atom
# calculated density: 3.72 g/cm³

# Li2Zr2AgTe6 (PBE, relaxed)
data_Li2Zr2AgTe6
_chemical_formula_sum 'Li2 Zr2 Ag1 Te6'
_cell_length_a 7.198
_cell_length_b 7.198
_cell_length_c 7.438
_cell_angle_alpha 98.63
_cell_angle_beta 98.63
_cell_angle_gamma 121.88
_space_group_name_H-M_alt 'P 1'
_space_group_IT_number 1
_space_group_name_Hall 'P 1'
loop_
_atom_site_label
_atom_site_type_symbol
_atom_site_fract_x
_atom_site_fract_y
_atom_site_fract_z
_atom_site_occupancy
Li1 Li 0.164 0.836 0.000 1
Li2 Li 0.836 0.164 0.000 1
Te1 Te 0.427 0.079 0.749 1
Te2 Te 0.921 0.573 0.251 1
Te3 Te 0.079 0.427 0.749 1
Te4 Te 0.745 0.745 0.743 1
Te5 Te 0.255 0.255 0.257 1
Te6 Te 0.573 0.921 0.251 1
Ag1 Ag 0.000 0.000 0.500 1
Zr1 Zr 0.665 0.335 0.500 1
Zr2 Zr 0.335 0.665 0.500 1
# VASP energy: -50.16 eV for the cell shown
# uncorrected formation energy: -0.68 eV per atom
# calculated density: 5.71 g/cm³

# TaSiCl2 (PBE, relaxed)
data_TaSiCl2
_chemical_formula_sum 'Ta1 Si1 Cl2'
_cell_length_a 12.062
_cell_length_b 12.062
_cell_length_c 12.062
_cell_angle_alpha 14.50
_cell_angle_beta 14.50
_cell_angle_gamma 14.50
_space_group_name_H-M_alt 'P 1'
_space_group_IT_number 1
_space_group_name_Hall 'P 1'
loop_
_atom_site_label
_atom_site_type_symbol
_atom_site_fract_x
_atom_site_fract_y
_atom_site_fract_z
_atom_site_occupancy
Ta1 Ta 0.750 0.750 0.750 1
Cl1 Cl 0.032 0.032 0.032 1
Cl2 Cl 0.468 0.468 0.468 1
Si1 Si 0.250 0.250 0.250 1
# VASP energy: -21.70 eV for the cell shown
# uncorrected formation energy: -0.18 eV per atom
# calculated density: 4.85 g/cm³
# polymorph energy (0 for the lowest one): 1.20 eV per formula unit

# Fe3Se (PBE, relaxed)
data_Fe3Se
_chemical_formula_sum 'Fe3 Se1'
_cell_length_a 4.778
_cell_length_b 4.778
_cell_length_c 4.778
_cell_angle_alpha 141.07
_cell_angle_beta 130.39
_cell_angle_gamma 64.79
_space_group_name_H-M_alt 'P 1'
_space_group_IT_number 1
_space_group_name_Hall 'P 1'
loop_
_atom_site_label
_atom_site_type_symbol
_atom_site_fract_x
_atom_site_fract_y
_atom_site_fract_z
_atom_site_occupancy
Fe1 Fe 0.750 0.750 0.000 1
Fe2 Fe 0.250 0.250 0.000 1
Fe3 Fe 0.000 0.500 0.500 1
Se1 Se 0.500 0.000 0.500 1
# VASP energy: -28.10 eV for the cell shown
# uncorrected formation energy: 0.19 eV per atom
# calculated density: 7.95 g/cm³
# polymorph energy (0 for the lowest one): 0.11 eV per formula unit

# RbAlN2 (PBE, relaxed)
data_RbAlN2
_chemical_formula_sum 'Rb1 Al1 N2'
_cell_length_a 7.775
_cell_length_b 7.775
_cell_length_c 7.775
_cell_angle_alpha 28.79
_cell_angle_beta 28.79
_cell_angle_gamma 28.79
_space_group_name_H-M_alt 'P 1'
_space_group_IT_number 1
_space_group_name_Hall 'P 1'
loop_
_atom_site_label
_atom_site_type_symbol
_atom_site_fract_x
_atom_site_fract_y
_atom_site_fract_z
_atom_site_occupancy
Al1 Al 0.000 0.000 0.000 1
N1 N 0.921 0.921 0.921 1
N2 N 0.079 0.079 0.079 1
Rb1 Rb 0.500 0.500 0.500 1
# VASP energy: -17.41 eV for the cell shown
# uncorrected formation energy: 0.99 eV per atom
# calculated density: 2.42 g/cm³

# Pr3NdSm2As6 (PBE, relaxed)
data_Pr3NdSm2As6
_chemical_formula_sum 'Pr3 Nd1 Sm2 As6'
_cell_length_a 4.274
_cell_length_b 8.540
_cell_length_c 9.549
_cell_angle_alpha 102.93
_cell_angle_beta 102.93
_cell_angle_gamma 90.00
_space_group_name_H-M_alt 'P 1'
_space_group_IT_number 1
_space_group_name_Hall 'P 1'
loop_
_atom_site_label
_atom_site_type_symbol
_atom_site_fract_x
_atom_site_fract_y
_atom_site_fract_z
_atom_site_occupancy
As1 As 0.001 0.249 0.003 1
As2 As 0.668 0.580 0.336 1
As3 As 0.334 0.913 0.667 1
As4 As 0.332 0.420 0.664 1
As5 As 0.999 0.751 0.997 1
As6 As 0.666 0.087 0.333 1
Pr1 Pr 0.167 0.833 0.333 1
Pr2 Pr 0.500 0.500 0.000 1
Pr3 Pr 0.833 0.167 0.667 1
Sm1 Sm 0.167 0.334 0.334 1
Sm2 Sm 0.833 0.666 0.666 1
Nd1 Nd 0.500 0.000 0.000 1
# VASP energy: -74.56 eV for the cell shown
# calculated density: 6.62 g/cm³
# DFT formation energy: -1510 meV/atom

# BaTcHg (PBE, relaxed)
data_BaTcHg
_chemical_formula_sum 'Ba1 Tc1 Hg1'
_cell_length_a 5.094
_cell_length_b 5.094
_cell_length_c 5.094
_cell_angle_alpha 60.00
_cell_angle_beta 60.00
_cell_angle_gamma 60.00
_space_group_name_H-M_alt 'P 1'
_space_group_IT_number 1
_space_group_name_Hall 'P 1'
loop_
_atom_site_label
_atom_site_type_symbol
_atom_site_fract_x
_atom_site_fract_y
_atom_site_fract_z
_atom_site_occupancy
Tc1 Tc 0.750 0.750 0.750 1
Hg1 Hg 0.500 0.500 0.500 1
Ba1 Ba 0.000 0.000 0.000 1
# VASP energy: -10.10 eV for the cell shown
# calculated density: 7.74 g/cm³
# DFT formation energy: 829 meV/atom
# polymorph energy (0 for the lowest one): 0.76 eV per formula unit

# Li2SnPd (PBE, relaxed)
data_Li2SnPd
_chemical_formula_sum 'Li2 Sn1 Pd1'
_cell_length_a 3.378
_cell_length_b 3.378
_cell_length_c 5.673
_cell_angle_alpha 90.00
_cell_angle_beta 90.00
_cell_angle_gamma 90.00
_space_group_name_H-M_alt 'P 1'
_space_group_IT_number 1
_space_group_name_Hall 'P 1'
loop_
_atom_site_label
_atom_site_type_symbol
_atom_site_fract_x
_atom_site_fract_y
_atom_site_fract_z
_atom_site_occupancy
Li1 Li 0.000 0.000 0.279 1
Li2 Li 0.000 0.000 0.721 1
Pd1 Pd 0.500 0.500 0.500 1
Sn1 Sn 0.500 0.500 0.000 1
# VASP energy: -14.80 eV for the cell shown
# calculated density: 6.13 g/cm³
# DFT formation energy: -445 meV/atom

# NdYTlCo (PBE, relaxed)
data_NdYTlCo
_chemical_formula_sum 'Nd1 Y1 Tl1 Co1'
_cell_length_a 5.207
_cell_length_b 5.207
_cell_length_c 5.207
_cell_angle_alpha 60.00
_cell_angle_beta 60.00
_cell_angle_gamma 60.00
_space_group_name_H-M_alt 'P 1'
_space_group_IT_number 1
_space_group_name_Hall 'P 1'
loop_
_atom_site_label
_atom_site_type_symbol
_atom_site_fract_x
_atom_site_fract_y
_atom_site_fract_z
_atom_site_occupancy
Y1 Y 0.750 0.750 0.750 1
Tl1 Tl 0.000 0.000 0.000 1
Co1 Co 0.500 0.500 0.500 1
Nd1 Nd 0.250 0.250 0.250 1
# VASP energy: -21.05 eV for the cell shown
# calculated density: 8.26 g/cm³
# DFT formation energy: -88 meV/atom

# Er6NpSe8 (PBE, relaxed)
data_Er6NpSe8
_chemical_formula_sum 'Er6 Np1 Se8'
_cell_length_a 8.060
_cell_length_b 8.060
_cell_length_c 8.060
_cell_angle_alpha 60.00
_cell_angle_beta 60.00
_cell_angle_gamma 60.00
_space_group_name_H-M_alt 'P 1'
_space_group_IT_number 1
_space_group_name_Hall 'P 1'
loop_
_atom_site_label
_atom_site_type_symbol
_atom_site_fract_x
_atom_site_fract_y
_atom_site_fract_z
_atom_site_occupancy
Er1 Er 0.500 0.500 0.000 1
Er2 Er 0.500 0.000 0.500 1
Er3 Er 0.000 0.000 0.500 1
Er4 Er 0.000 0.500 0.000 1
Er5 Er 0.000 0.500 0.500 1
Er6 Er 0.500 0.000 0.000 1
Se1 Se 0.742 0.258 0.742 1
Se2 Se 0.750 0.750 0.750 1
Se3 Se 0.742 0.258 0.258 1
Se4 Se 0.258 0.742 0.742 1
Se5 Se 0.742 0.742 0.258 1
Se6 Se 0.258 0.742 0.258 1
Se7 Se 0.250 0.250 0.250 1
Se8 Se 0.258 0.258 0.742 1
Np1 Np 0.000 0.000 0.000 1
# VASP energy: -93.29 eV for the cell shown
# uncorrected formation energy: -1.67 eV per atom
# calculated density: 8.40 g/cm³

# Pr6Tl3Zn (PBE, relaxed)
data_Pr6Tl3Zn
_chemical_formula_sum 'Pr12 Tl6 Zn2'
_cell_length_a 5.459
_cell_length_b 9.619
_cell_length_c 12.136
_cell_angle_alpha 107.30
_cell_angle_beta 90.00
_cell_angle_gamma 90.00
_space_group_name_H-M_alt 'P 1'
_space_group_IT_number 1
_space_group_name_Hall 'P 1'
loop_
_atom_site_label
_atom_site_type_symbol
_atom_site_fract_x
_atom_site_fract_y
_atom_site_fract_z
_atom_site_occupancy
Pr1 Pr 0.750 0.904 0.125 1
Pr2 Pr 0.750 0.138 0.673 1
Pr3 Pr 0.250 0.131 0.153 1
Pr4 Pr 0.750 0.526 0.906 1
Pr5 Pr 0.250 0.668 0.673 1
Pr6 Pr 0.750 0.869 0.847 1
Pr7 Pr 0.250 0.474 0.094 1
Pr8 Pr 0.750 0.332 0.327 1
Pr9 Pr 0.250 0.096 0.875 1
Pr10 Pr 0.250 0.862 0.327 1
Pr11 Pr 0.750 0.764 0.503 1
Pr12 Pr 0.250 0.236 0.497 1
Tl1 Tl 0.250 0.769 0.971 1
Tl2 Tl 0.750 0.468 0.616 1
Tl3 Tl 0.250 0.373 0.777 1
Tl4 Tl 0.750 0.627 0.223 1
Tl5 Tl 0.250 0.532 0.384 1
Tl6 Tl 0.750 0.231 0.029 1
Zn1 Zn 0.750 0.041 0.397 1
Zn2 Zn 0.250 0.959 0.603 1
# VASP energy: -79.57 eV for the cell shown
# calculated density: 8.32 g/cm³
# DFT formation energy: -274 meV/atom
# polymorph energy (0 for the lowest one): 0.00 eV per formula unit